# 1
First-principles (PBE) data for NpCdP2 after structural relaxation, as listed in Alexandria via LeMat-Bulk.

- DFT total energy (eV/atom) = -6.523
- DFT formation energy (eV per atom) = -0.35
- symmetry = No. 123
- polymorph energy (0 for the lowest one) (meV per atom) = 0
- magnetic moment (μB/f.u.) = 2.90
- crystal system = tetragonal
- V (Å³ per cell) = 73.7

Structure (POSCAR):
```
NpCdP2
1.0
3.583 0.000 0.000
0.000 4.535 0.000
0.000 0.000 4.535
P Cd Np
2 1 1
direct
0.000 0.000 0.500 P
0.000 0.500 0.000 P
0.500 0.500 0.500 Cd
0.500 0.000 0.000 Np
```

=====

# 2
First-principles (PBE) data for ErMg2Cu after structural relaxation, as listed in Alexandria via LeMat-Bulk.

- DFT total energy (eV/atom) = -3.039
- DFT formation energy (eV per atom) = -0.08
- symmetry = No. 216
- magnetic moment (μB/f.u.) = 0.00
- crystal system = cubic
- V (Å³ per cell) = 82.3

Structure (POSCAR):
```
ErMg2Cu
1.0
-1.093 -4.684 0.844
2.969 -3.528 -1.607
2.654 -2.592 3.176
Mg Er Cu
2 1 1
direct
0.250 0.250 0.250 Mg
0.000 0.000 0.000 Mg
0.500 0.500 0.500 Er
0.750 0.750 0.750 Cu
```